No. 1
MgTeI: optimized geometry, PBE.

Results
The raw formation energy is -0.672 eV per atom. As for the space group: P2_1/c (14).

Unit cell a=10.199 b=7.941 c=5.798 alpha=111.44 beta=90.00 gamma=90.00
Fractional positions:
Te 0.292 0.957 0.478
Te 0.708 0.043 0.522
Te 0.208 0.957 0.978
Te 0.792 0.043 0.022
I 0.429 0.370 0.185
I 0.571 0.630 0.815
I 0.929 0.630 0.315
I 0.071 0.370 0.685
Mg 0.975 0.740 0.869
Mg 0.525 0.740 0.369
Mg 0.025 0.260 0.131
Mg 0.475 0.260 0.631

***

No. 2
La8Pr3Ho3: optimized geometry, PBE.

Results
The value obtained for the energy of formation is 86 meV per atom. As for the space group: Immm (71).

Unit cell a=5.813 b=9.965 c=9.965 alpha=102.50 beta=73.04 gamma=73.04
Fractional positions:
La 0.659 0.116 0.565
La 0.341 0.884 0.435
La 0.659 0.565 0.116
La 0.341 0.435 0.884
La 0.837 0.768 0.558
La 0.163 0.232 0.442
La 0.837 0.558 0.768
La 0.163 0.442 0.232
Pr 0.500 0.000 0.000
Pr 0.000 0.823 0.177
Pr 0.000 0.177 0.823
Ho 0.500 0.500 0.500
Ho 0.800 0.200 0.200
Ho 0.200 0.800 0.800